(1)
PBE CsSrCaGa2, optimized geometry; DFT total energy = -1.313 eV/atom; total magnetization = 0.0 μB per formula unit; DOS at the Fermi energy = 3.65 states/eV/f.u.; SG = P4/mmm; DFT formation energy = 0.80 eV/atom
1.0
5.995 0.000 0.000
0.000 6.236 0.000
0.000 0.000 5.995
Ga Cs Sr Ca
2 1 1 1
direct
0.000 0.000 0.500
0.500 0.000 0.000
0.000 0.000 0.000
0.000 0.500 0.000
0.500 0.500 0.500



(2)
PBE Ca5CrN4Cl2, optimized geometry; DFT total energy = -5.835 eV/atom; total magnetization = 2.0 μB per formula unit; DOS at the Fermi energy = 1.68 states/eV/f.u.; SG = Amm2; energy relative to the elements, uncorrected = -1.116 eV per atom
1.0
5.965 0.000 0.000
-2.983 4.549 0.000
0.000 0.000 7.827
N Ca Cl Cr
4 5 2 1
direct
0.598 0.000 0.204
0.366 0.316 0.000
0.050 0.684 0.000
0.598 0.000 0.796
0.083 0.379 0.810
0.704 0.621 0.190
0.515 0.000 0.500
0.083 0.379 0.190
0.704 0.621 0.810
0.960 0.630 0.500
0.330 0.370 0.500
0.417 0.000 0.000



(3)
PBE Li6AgAu2, optimized geometry; DFT total energy = -2.679 eV/atom; total magnetization = 0.0 μB per formula unit; DOS at the Fermi energy = 3.05 states/eV/f.u.; SG = P-1; DFT formation energy = -0.36 eV/atom
1.0
-2.137 0.050 -1.832
-13.064 1.175 -1.438
-10.025 7.370 -4.427
Li Au Ag
6 2 1
direct
0.438 0.509 0.157
0.759 0.834 0.502
0.562 0.491 0.843
0.182 0.156 0.833
0.818 0.844 0.167
0.241 0.166 0.498
0.124 0.168 0.170
0.876 0.832 0.830
0.500 0.500 0.500



(4)
PBE BaGa3Pd3, optimized geometry; DFT total energy = -4.260 eV/atom; total magnetization = 0.0 μB per formula unit; DOS at the Fermi energy = 3.14 states/eV/f.u.; SG = R-3; DFT formation energy = -0.46 eV/atom
1.0
6.834 0.000 0.000
3.417 5.918 0.000
3.417 1.973 7.827
Pd Ga Ba
6 6 2
direct
0.754 0.056 0.623
0.434 0.246 0.377
0.944 0.434 0.377
0.566 0.754 0.623
0.246 0.944 0.377
0.056 0.566 0.623
0.318 0.143 0.704
0.165 0.682 0.296
0.143 0.835 0.704
0.835 0.318 0.704
0.857 0.165 0.296
0.682 0.857 0.296
0.669 0.669 0.993
0.331 0.331 0.007



(5)
PBE EuYGaRu, optimized geometry; DFT total energy = -7.485 eV/atom; total magnetization = 6.6 μB per formula unit; DOS at the Fermi energy = 4.79 states/eV/f.u.; SG = F-43m; DFT formation energy = -0.22 eV/atom
1.0
-2.525 -3.921 1.821
2.405 -3.537 2.601
-0.748 -0.425 4.932
Ga Ru Eu Y
1 1 1 1
direct
0.250 0.250 0.250
0.750 0.750 0.750
0.000 0.000 0.000
0.500 0.500 0.500



(6)
PBE TeMoPt2, optimized geometry; DFT total energy = -6.243 eV/atom; total magnetization = 0.0 μB per formula unit; DOS at the Fermi energy = 4.95 states/eV/f.u.; SG = R3m; energy relative to the elements, uncorrected = 0.271 eV per atom
1.0
9.130 0.057 0.034
8.611 3.037 0.034
8.611 1.502 2.640
Pt Mo Te
2 1 1
direct
0.252 0.252 0.252
0.004 0.004 0.004
0.748 0.748 0.748
0.497 0.497 0.497



(7)
PBE Sc2TiCu, optimized geometry; DFT total energy = -6.121 eV/atom; total magnetization = 2.4 μB per formula unit; DOS at the Fermi energy = 4.42 states/eV/f.u.; SG = P4/mmm; DFT formation energy = 0.04 eV/atom
1.0
-0.900 -3.344 0.728
4.479 -1.082 0.564
-0.310 1.065 4.507
Cu Sc Ti
1 2 1
direct
0.500 0.000 0.000
0.000 0.000 0.500
0.000 0.500 0.000
0.500 0.500 0.500



(8)
PBE Pu5Sb3, optimized geometry; DFT total energy = -10.941 eV/atom; total magnetization = 6.6 μB per formula unit; DOS at the Fermi energy = 49.65 states/eV/f.u.; SG = P6_3/mcm; energy relative to the elements, uncorrected = -0.438 eV per atom
1.0
-0.065 2.150 5.626
-2.843 -8.216 3.107
9.028 1.838 -0.598
Sb Pu
6 10
direct
0.250 0.000 0.389
0.750 0.000 0.611
0.750 0.611 0.000
0.250 0.611 0.611
0.750 0.389 0.389
0.250 0.389 0.000
0.500 0.667 0.333
0.000 0.667 0.333
0.250 0.000 0.760
0.750 0.240 0.000
0.500 0.333 0.667
0.250 0.240 0.240
0.750 0.000 0.240
0.000 0.333 0.667
0.750 0.760 0.760
0.250 0.760 0.000



(9)
PBE Si2PAu, optimized geometry; DFT total energy = -4.530 eV/atom; total magnetization = 0.0 μB per formula unit; DOS at the Fermi energy = 1.12 states/eV/f.u.; SG = Imm2; energy relative to the elements, uncorrected = 0.353 eV per atom
1.0
5.781 0.009 0.004
3.390 4.683 -0.004
-4.386 -2.735 2.588
Au P Si
1 1 2
direct
0.487 0.487 0.000
0.177 0.677 0.500
0.817 0.317 0.500
0.019 0.019 0.000



(10)
PBE Al2SiTe, optimized geometry; DFT total energy = -3.983 eV/atom; total magnetization = 0.0 μB per formula unit; DOS at the Fermi energy = 2.04 states/eV/f.u.; SG = C2/m; energy relative to the elements, uncorrected = 0.029 eV per atom
1.0
3.925 0.016 -0.021
1.960 3.400 -0.021
1.913 1.111 6.296
Al Te Si
2 1 1
direct
0.016 0.016 0.953
0.484 0.484 0.547
0.250 0.250 0.250
0.750 0.750 0.750



(11)
PBE Rb2Na2Tl5Cd2, optimized geometry; DFT total energy = -1.495 eV/atom; total magnetization = 0.0 μB per formula unit; DOS at the Fermi energy = 7.98 states/eV/f.u.; SG = I4/mmm; DFT formation energy = 0.16 eV/atom
1.0
5.715 0.000 0.000
0.000 5.715 0.000
-2.857 -2.857 16.195
Cd Tl Na Rb
2 5 2 2
direct
0.910 0.910 0.821
0.090 0.090 0.179
0.616 0.116 0.232
0.384 0.884 0.768
0.884 0.384 0.768
0.116 0.616 0.232
0.000 0.000 0.000
0.664 0.664 0.328
0.336 0.336 0.672
0.796 0.796 0.593
0.204 0.204 0.407



(12)
PBE ZrAsBr2, optimized geometry; DFT total energy = -4.576 eV/atom; total magnetization = 0.0 μB per formula unit; DOS at the Fermi energy = 1.35 states/eV/f.u.; SG = Cmm2; energy relative to the elements, uncorrected = -0.440 eV per atom
1.0
3.169 0.227 0.000
-0.233 3.168 0.000
0.000 0.000 10.211
Br As Zr
2 1 1
direct
0.500 0.500 0.320
0.000 0.000 0.001
0.500 0.500 0.683
0.000 0.000 0.496



(13)
PBE La2HoPt, optimized geometry; DFT total energy = -5.769 eV/atom; total magnetization = 0.0 μB per formula unit; DOS at the Fermi energy = 4.20 states/eV/f.u.; SG = Pnma; DFT formation energy = -0.65 eV/atom
1.0
-5.059 -4.204 0.596
4.585 -5.240 1.956
-1.098 2.716 9.850
Ho La Pt
4 8 4
direct
0.157 0.965 0.750
0.843 0.035 0.250
0.343 0.465 0.750
0.657 0.535 0.250
0.824 0.321 0.563
0.676 0.821 0.563
0.824 0.321 0.937
0.676 0.821 0.937
0.176 0.679 0.437
0.324 0.179 0.437
0.324 0.179 0.063
0.176 0.679 0.063
0.448 0.879 0.250
0.948 0.621 0.750
0.052 0.379 0.250
0.552 0.121 0.750



(14)
PBE MgBeRu2, optimized geometry; DFT total energy = -5.892 eV/atom; total magnetization = 0.0 μB per formula unit; DOS at the Fermi energy = 2.71 states/eV/f.u.; SG = Amm2; DFT formation energy = 0.08 eV/atom
1.0
-0.503 3.990 0.065
-1.561 -0.235 2.328
3.194 0.339 3.870
Ru Be Mg
2 1 1
direct
0.500 0.442 0.244
0.000 0.043 0.037
0.000 0.309 0.507
0.500 0.706 0.712



(15)
PBE ZnAg5Cl8, optimized geometry; DFT total energy = -2.724 eV/atom; total magnetization = 0.0 μB per formula unit; DOS at the Fermi energy = 8.57 states/eV/f.u.; SG = I-4; energy relative to the elements, uncorrected = -0.560 eV per atom
1.0
7.308 -0.090 -2.324
-3.932 6.161 -2.324
0.050 0.090 7.669
Ag Cl Zn
5 8 1
direct
0.383 0.890 0.041
0.850 0.343 0.959
0.110 0.150 0.493
0.657 0.617 0.507
0.500 0.500 0.000
0.120 0.428 0.800
0.109 0.860 0.707
0.153 0.402 0.293
0.572 0.372 0.692
0.628 0.320 0.200
0.140 0.847 0.249
0.680 0.880 0.308
0.598 0.891 0.751
0.250 0.750 0.500



(16)
PBE ReIr2Cl, optimized geometry; DFT total energy = -7.591 eV/atom; total magnetization = 0.5 μB per formula unit; DOS at the Fermi energy = 5.22 states/eV/f.u.; SG = R3m; energy relative to the elements, uncorrected = 0.413 eV per atom
1.0
9.426 -0.064 -0.037
9.025 2.719 -0.037
9.025 1.299 2.389
Ir Re Cl
2 1 1
direct
0.991 0.991 0.991
0.243 0.243 0.243
0.501 0.501 0.501
0.765 0.765 0.765



(17)
PBE Pm6TlAg5, optimized geometry; DFT total energy = -4.046 eV/atom; total magnetization = 0.0 μB per formula unit; DOS at the Fermi energy = 10.20 states/eV/f.u.; SG = P2/m; DFT formation energy = -0.29 eV/atom
1.0
5.181 0.002 -1.077
-0.003 7.585 -0.001
-0.959 0.000 8.303
Pm Ag Tl
6 5 1
direct
0.500 0.259 0.000
0.831 0.253 0.661
0.500 0.741 0.000
0.169 0.253 0.339
0.169 0.747 0.339
0.831 0.747 0.661
0.660 0.000 0.325
0.664 0.500 0.332
0.000 0.500 0.000
0.340 0.000 0.675
0.336 0.500 0.668
0.000 0.000 0.000



(18)
PBE MgInO3, optimized geometry; DFT total energy = -4.836 eV/atom; total magnetization = 1.0 μB per formula unit; DOS at the Fermi energy = 3.53 states/eV/f.u.; SG = Pm-3m; energy relative to the elements, uncorrected = -0.994 eV per atom
1.0
3.825 0.000 0.000
0.000 3.825 0.000
0.000 0.000 3.825
O In Mg
3 1 1
direct
0.000 0.000 0.500
0.500 0.000 0.000
0.000 0.500 0.000
0.500 0.500 0.500
0.000 0.000 0.000



(19)
PBE LiFe2Ir, optimized geometry; DFT total energy = -6.732 eV/atom; total magnetization = 5.1 μB per formula unit; DOS at the Fermi energy = 4.38 states/eV/f.u.; SG = P4/mmm; DFT formation energy = 0.19 eV/atom
1.0
-0.306 -1.069 2.396
2.126 -1.515 -0.404
4.528 5.542 3.051
Fe Ir Li
2 1 1
direct
0.000 0.000 0.486
0.000 0.000 0.014
0.500 0.500 0.250
0.500 0.500 0.750



(20)
PBE OsRh4W, optimized geometry; DFT total energy = -8.519 eV/atom; total magnetization = 0.0 μB per formula unit; DOS at the Fermi energy = 10.44 states/eV/f.u.; SG = F-43m; DFT formation energy = 0.41 eV/atom
1.0
0.000 3.551 3.551
3.551 0.000 3.551
3.551 3.551 0.000
Rh W Os
4 1 1
direct
0.375 0.876 0.375
0.375 0.375 0.876
0.876 0.375 0.375
0.375 0.375 0.375
0.750 0.750 0.750
0.000 0.000 0.000



(21)
PBE SiTeBr2, optimized geometry; DFT total energy = -3.115 eV/atom; total magnetization = 0.0 μB per formula unit; DOS at the Fermi energy = 0.27 states/eV/f.u.; SG = P4mm; energy relative to the elements, uncorrected = -0.137 eV per atom
1.0
-1.775 -3.764 -0.095
1.033 -0.386 -4.014
7.034 -3.372 2.135
Br Te Si
2 1 1
direct
0.000 0.000 0.922
0.500 0.500 0.315
0.500 0.500 0.628
0.000 0.000 0.636



(22)
PBE Sm2ScTe, optimized geometry; DFT total energy = -4.892 eV/atom; total magnetization = 1.1 μB per formula unit; DOS at the Fermi energy = 5.80 states/eV/f.u.; SG = R-3m; energy relative to the elements, uncorrected = -0.164 eV per atom
1.0
3.845 0.000 0.000
1.923 3.330 0.000
1.923 1.110 10.447
Sm Sc Te
2 1 1
direct
0.901 0.901 0.296
0.099 0.099 0.704
0.000 0.000 0.000
0.500 0.500 0.500



(23)
PBE CeNdCoBr, optimized geometry; DFT total energy = -5.600 eV/atom; total magnetization = 0.5 μB per formula unit; DOS at the Fermi energy = 5.24 states/eV/f.u.; SG = Cm; energy relative to the elements, uncorrected = -0.730 eV per atom
1.0
4.105 0.000 -0.001
-2.052 3.340 0.085
-2.052 -0.916 7.703
Co Nd Ce Br
1 1 1 1
direct
0.301 0.523 0.891
0.495 0.132 0.669
0.112 0.987 0.049
0.970 0.389 0.361



(24)
PBE PrCoSb3, optimized geometry; DFT total energy = -5.383 eV/atom; total magnetization = 0.2 μB per formula unit; DOS at the Fermi energy = 3.26 states/eV/f.u.; SG = Pbcm; energy relative to the elements, uncorrected = -0.532 eV per atom
1.0
6.020 0.000 0.000
0.000 6.162 0.000
0.000 0.000 12.967
Sb Co Pr
12 4 4
direct
0.750 0.500 0.211
0.250 0.092 0.947
0.500 0.750 0.502
0.000 0.750 0.502
0.750 0.000 0.789
0.250 0.592 0.053
0.250 0.000 0.211
0.000 0.250 0.498
0.750 0.408 0.947
0.500 0.250 0.498
0.250 0.500 0.789
0.750 0.908 0.053
0.500 0.750 0.908
0.000 0.250 0.092
0.000 0.750 0.908
0.500 0.250 0.092
0.750 0.999 0.303
0.250 0.001 0.697
0.250 0.501 0.303
0.750 0.499 0.697



(25)
PBE ScCrRu2, optimized geometry; DFT total energy = -8.335 eV/atom; total magnetization = 0.0 μB per formula unit; DOS at the Fermi energy = 5.03 states/eV/f.u.; SG = R3m; DFT formation energy = 0.29 eV/atom
1.0
8.944 0.005 0.003
8.505 2.769 0.003
8.505 1.352 2.416
Cr Sc Ru
1 1 2
direct
0.745 0.745 0.745
0.497 0.497 0.497
0.253 0.253 0.253
0.004 0.004 0.004